one.
Ba3SiF: relaxed, PBE.

Calculated values
DOS(E_F)   2.8 states/eV/f.u.
SG   Pm-3m (221)

abc: 5.4244 5.4244 5.4244
angles: 90.00 90.00 90.00
With the nearest neighbours (Å) after each atom.
Element x y z (fractional)
1 Ba 0.0000 0.0000 0.5000  2 F 2.71
2 Ba 0.0000 0.5000 0.0000  2 F 2.71
3 Ba 0.5000 0.0000 0.0000  2 F 2.71
4 Si 0.5000 0.5000 0.5000  12 Ba 3.84
5 F 0.0000 0.0000 0.0000  6 Ba 2.71



two.
Ba3SiF: relaxed, PBE.

Calculated values
DOS(E_F)   3.2 states/eV/f.u.
SG   C2/m (12)

abc: 8.6620 8.6620 11.8398
angles: 119.57 119.57 31.83
With the nearest neighbours (Å) after each atom.
Element x y z (fractional)
1 Ba 0.1240 0.1240 0.4418  3 F 2.68-2.72
2 Ba 0.3701 0.3701 0.1707  2 Si 3.39
3 Ba 0.3696 0.3696 0.8488  1 F 2.76
4 Ba 0.6304 0.6304 0.1512  1 F 2.76
5 Ba 0.6299 0.6299 0.8293  2 Si 3.39
6 Ba 0.8760 0.8760 0.5582  3 F 2.68-2.72
7 Si 0.0302 0.0302 0.9218  1 Si 2.52
8 Si 0.9698 0.9698 0.0782  1 Si 2.52
9 F 0.3138 0.3138 0.5855  4 Ba 2.68-2.76
10 F 0.6862 0.6862 0.4145  4 Ba 2.68-2.76



Here is how they stack up, most stable first: two, one.



one.
BaSiF2: relaxed, PBE.

Calculated values
DOS(E_F)   1.3 states/eV/f.u.
SG   R-3m (166)

abc: 6.1742 6.1742 6.1742
angles: 42.36 42.36 42.36
With the nearest neighbours (Å) after each atom.
Element x y z (fractional)
1 Ba 0.0000 0.0000 0.0000  6 F 2.67
2 Si 0.5000 0.5000 0.5000  2 F 2.09
3 F 0.3758 0.3758 0.3758  1 Si 2.09
4 F 0.6242 0.6242 0.6242  1 Si 2.09



two.
BaSiF2: relaxed, PBE.

Calculated values
DOS(E_F)   0.0 states/eV/f.u.
SG   R-3m (166)

abc: 5.2587 5.2587 5.2587
angles: 48.57 48.57 48.57
With the nearest neighbours (Å) after each atom.
Element x y z (fractional)
1 Ba 0.0000 0.0000 0.0000  2 F 2.76
2 Si 0.5000 0.5000 0.5000  6 F 2.54
3 F 0.1991 0.1991 0.1991  3 Si 2.54, 3 F 2.66, 1 Ba 2.76
4 F 0.8009 0.8009 0.8009  3 Si 2.54, 3 F 2.66, 1 Ba 2.76



Here is how they stack up, most stable first: one, two.